A relaxed structure of SiC2I, computed with PBE.

The structure belongs to space group I-42d (No. 122); the cell edges are 5.2804, 5.2804 and 8.7653 Å and the angles 90.00°, 90.00° and 90.00°. The distinct sites, in fractional coordinates, are Si at (0.0000, 0.0000, 0.0000), C at (0.1387, 0.2500, 0.1250) and I at (0.0000, 0.0000, 0.5000).

The density is 4.9 g/cm3. The density of states at the Fermi level comes out at 13.17 states/eV/cell. As for the volume: 15.3 A^3/atom. The offset from the most stable computed form comes out at 0 meV/atom.